The following is a meta-GGA SCAN calculation of a crystal of ZrRuAu relaxed with PBEsol, from Alexandria via LeMat-Bulk.

```
data_ZrRuAu
_space_group_name_H-M_alt 'P 3 m 1'
_space_group_IT_number 156
_space_group_name_Hall 'P 3 -2"'
_cell_length_a 3.2400
_cell_length_b 3.2400
_cell_length_c 6.0177
_cell_angle_alpha 90.00
_cell_angle_beta 90.00
_cell_angle_gamma 120.00
loop_
_atom_site_label
_atom_site_type_symbol
_atom_site_fract_x
_atom_site_fract_y
_atom_site_fract_z
_atom_site_occupancy
Zr1 Zr 0.0000 0.0000 0.0000 1
Ru1 Ru 0.6667 0.3333 0.2913 1
Au1 Au 0.3333 0.6667 0.6412 1
```

Results
The calculation puts the formation energy at -0.19 eV per atom. The crystal system is trigonal. The value obtained for the density of states at the Fermi level is 1.0 states/eV/cell.